5
Lattice="4.0161 0.0000 0.0000 0.0000 4.0161 0.0000 0.0000 0.0000 3.8869" Properties=species:S:1:pos:R:3 comment="CoHPd2Au (PBE, relaxed)" spacegroup="P4/mmm, No. 123" magnetic_moment_mub_per_fu=2.289 volume_a3_per_atom=12.54 dft_energy_ev_per_atom=-4.7769 pbc="T T T"
Au 2.0080 2.0080 1.9434
Pd 0.0000 2.0080 0.0000
Co 0.0000 0.0000 1.9434
Pd 2.0080 0.0000 0.0000
H 0.0000 0.0000 0.0000



5
Lattice="3.9613 0.0000 0.0000 0.0000 3.9613 0.0000 0.0000 0.0000 4.0640" Properties=species:S:1:pos:R:3 comment="CoHPd2Au (PBE, relaxed)" spacegroup="P4/mmm, No. 123" magnetic_moment_mub_per_fu=2.405 volume_a3_per_atom=12.75 dft_energy_ev_per_atom=-4.6713 pbc="T T T"
Pd 0.0000 1.9807 0.0000
H 0.0000 0.0000 0.0000
Co 1.9807 1.9807 2.0320
Au 0.0000 0.0000 2.0320
Pd 1.9807 0.0000 0.0000



10
Lattice="5.2933 -0.0141 -0.0376 -0.0141 5.2933 -0.0377 -2.6670 -2.6669 3.7643" Properties=species:S:1:pos:R:3 comment="Pm2CoH6Au (PBE, relaxed)" spacegroup="Immm, No. 71" magnetic_moment_mub_per_fu=0.001 volume_a3_per_atom=10.44 dft_energy_ev_per_atom=-4.3733 pbc="T T T"
Co 2.6263 -2.6784 3.7263
H 1.1372 1.1398 0.0088
H 0.0045 0.0073 1.6073
H 1.4883 -1.5397 3.7255
Au -0.0275 -0.0248 3.7265
Pm 2.6250 -0.0104 1.8436
H -1.5426 1.4910 3.7255
Pm -0.0131 2.6277 1.8435
H 2.6073 2.6099 2.0811
H 1.4751 1.4779 3.6779



5
Lattice="3.9059 0.0000 0.0000 0.0000 3.9059 0.0000 0.0000 0.0000 3.8338" Properties=species:S:1:pos:R:3 comment="Co2HPtAu (PBE, relaxed)" spacegroup="P4/mmm, No. 123" magnetic_moment_mub_per_fu=3.753 volume_a3_per_atom=11.70 dft_energy_ev_per_atom=-5.2549 pbc="T T T"
Co 1.9530 0.0000 0.0000
Au 1.9530 1.9530 1.9169
Pt 0.0000 0.0000 1.9169
Co 0.0000 1.9530 0.0000
H 0.0000 0.0000 0.0000



5
Lattice="-3.5359 1.5228 0.3239 -1.5455 -3.5303 -0.2731 0.1908 -0.3846 3.8915" Properties=species:S:1:pos:R:3 comment="Co2HPtAu (PBE, relaxed)" spacegroup="P4/mmm, No. 123" magnetic_moment_mub_per_fu=3.586 volume_a3_per_atom=11.69 dft_energy_ev_per_atom=-5.1527 pbc="T T T"
Co -1.7679 0.7614 0.1619
Co -0.7727 -1.7652 -0.1365
Au 0.0954 -0.1923 1.9458
H 0.0000 0.0000 0.0000
Pt -2.4453 -1.1960 1.9712



5
Lattice="-2.4182 2.6720 -1.3307 -2.6818 -1.1926 2.4786 1.3244 2.5148 2.6431" Properties=species:S:1:pos:R:3 comment="Co2HRhAu (PBE, relaxed)" spacegroup="P4/mmm, No. 123" magnetic_moment_mub_per_fu=4.391 volume_a3_per_atom=11.46 dft_energy_ev_per_atom=-5.3564 pbc="T T T"
Au 0.6622 1.2574 1.3215
Co -1.3409 -0.5963 1.2393
Rh -1.8878 1.9971 1.8955
H 0.0000 0.0000 0.0000
Co -1.2091 1.3360 -0.6654



5
Lattice="3.8718 0.0000 0.0000 0.0000 3.8718 0.0000 0.0000 0.0000 3.7959" Properties=species:S:1:pos:R:3 comment="Co2HRhAu (PBE, relaxed)" spacegroup="P4/mmm, No. 123" magnetic_moment_mub_per_fu=4.454 volume_a3_per_atom=11.38 dft_energy_ev_per_atom=-5.5239 pbc="T T T"
Rh 0.0000 0.0000 1.8980
Au 1.9359 1.9359 1.8980
H 0.0000 0.0000 0.0000
Co 1.9359 0.0000 0.0000
Co 0.0000 1.9359 0.0000



5
Lattice="3.9156 0.0000 0.0000 0.0000 3.9156 0.0000 0.0000 0.0000 4.0092" Properties=species:S:1:pos:R:3 comment="CoHRh2Au (PBE, relaxed)" spacegroup="P4/mmm, No. 123" magnetic_moment_mub_per_fu=3.456 volume_a3_per_atom=12.29 dft_energy_ev_per_atom=-5.4488 pbc="T T T"
Au 0.0000 0.0000 2.0046
H 0.0000 0.0000 0.0000
Rh 0.0000 1.9578 0.0000
Co 1.9578 1.9578 2.0046
Rh 1.9578 0.0000 0.0000



5
Lattice="3.9363 0.0000 0.0000 0.0000 3.9363 0.0000 0.0000 0.0000 3.8955" Properties=species:S:1:pos:R:3 comment="CoHRh2Au (PBE, relaxed)" spacegroup="P4/mmm, No. 123" magnetic_moment_mub_per_fu=3.437 volume_a3_per_atom=12.07 dft_energy_ev_per_atom=-5.5582 pbc="T T T"
Co 0.0000 0.0000 1.9478
Au 1.9681 1.9681 1.9478
Rh 1.9681 0.0000 0.0000
H 0.0000 0.0000 0.0000
Rh 0.0000 1.9681 0.0000



5
Lattice="-2.2726 -0.7373 -3.0728 -1.5942 -3.0004 1.8990 -2.6311 2.2828 1.3981" Properties=species:S:1:pos:R:3 comment="Co2HRuAu (PBE, relaxed)" spacegroup="P4/mmm, No. 123" magnetic_moment_mub_per_fu=4.972 volume_a3_per_atom=11.37 dft_energy_ev_per_atom=-5.8117 pbc="T T T"
Co -1.1363 -0.3687 -1.5364
H 0.0000 0.0000 0.0000
Co -0.7971 -1.5002 0.9495
Au -3.2489 -0.7275 0.1122
Ru -1.3155 1.1414 0.6991



5
Lattice="-3.3841 -1.3743 -1.3950 1.7004 -0.1790 -3.9487 1.2032 -3.6567 0.6838" Properties=species:S:1:pos:R:3 comment="Co2SbHAu (PBE, relaxed)" spacegroup="P4/mmm, No. 123" magnetic_moment_mub_per_fu=2.806 volume_a3_per_atom=13.16 dft_energy_ev_per_atom=-4.5949 pbc="T T T"
Co -1.6920 -0.6872 -0.6975
Co 0.6016 -1.8284 0.3419
Sb 0.8502 -0.0895 -1.9744
H 0.0000 0.0000 0.0000
Au -0.2403 -2.6050 -2.3299



5
Lattice="-2.2468 -3.3359 -2.2478 1.7014 -3.1211 2.9313 -2.6976 0.4436 2.0380" Properties=species:S:1:pos:R:3 comment="Sc2CoHAu (PBE, relaxed)" spacegroup="P4/mmm, No. 123" magnetic_moment_mub_per_fu=0.509 volume_a3_per_atom=14.48 dft_energy_ev_per_atom=-5.8214 pbc="T T T"
Co -1.3488 0.2218 1.0190
H 0.0000 0.0000 0.0000
Au -1.6215 -3.0067 1.3608
Sc 0.8507 -1.5606 1.4657
Sc -1.1234 -1.6679 -1.1239



5
Lattice="4.0760 0.0000 0.0000 0.0000 4.0760 0.0000 0.0000 0.0000 3.9750" Properties=species:S:1:pos:R:3 comment="Ta2CoHAu (PBE, relaxed)" spacegroup="P4/mmm, No. 123" magnetic_moment_mub_per_fu=1.053 volume_a3_per_atom=13.21 dft_energy_ev_per_atom=-7.5497 pbc="T T T"
Ta 0.0000 2.0380 0.0000
Co 0.0000 0.0000 1.9875
Au 2.0380 2.0380 1.9875
Ta 2.0380 0.0000 0.0000
H 0.0000 0.0000 0.0000



5
Lattice="4.7232 0.0000 0.0000 0.0000 5.1210 0.0000 0.0000 0.0000 4.7232" Properties=species:S:1:pos:R:3 comment="Co2TcHAu (PBE, relaxed)" spacegroup="P4/mmm, No. 123" magnetic_moment_mub_per_fu=7.416 volume_a3_per_atom=22.85 dft_energy_ev_per_atom=-4.0251 pbc="T T T"
Co 0.0000 0.0000 2.3616
Au 0.0000 0.0000 0.0000
H 2.3616 2.5605 2.3616
Tc 0.0000 2.5605 0.0000
Co 2.3616 0.0000 0.0000



5
Lattice="3.9003 0.0000 0.0000 0.0000 3.9003 0.0000 0.0000 0.0000 3.7681" Properties=species:S:1:pos:R:3 comment="Co2TcHAu (PBE, relaxed)" spacegroup="P4/mmm, No. 123" magnetic_moment_mub_per_fu=4.916 volume_a3_per_atom=11.46 dft_energy_ev_per_atom=-6.0034 pbc="T T T"
H 0.0000 0.0000 0.0000
Co 0.0000 1.9501 0.0000
Au 1.9501 1.9501 1.8840
Co 1.9501 0.0000 0.0000
Tc 0.0000 0.0000 1.8840



5
Lattice="3.7758 0.0000 0.0000 0.0000 3.7758 0.0000 0.0000 0.0000 3.7621" Properties=species:S:1:pos:R:3 comment="VCo2HAu (PBE, relaxed)" spacegroup="P4/mmm, No. 123" magnetic_moment_mub_per_fu=0.939 volume_a3_per_atom=10.73 dft_energy_ev_per_atom=-5.9314 pbc="T T T"
H 0.0000 0.0000 0.0000
Au 1.8879 1.8879 1.8811
Co 1.8879 0.0000 0.0000
V 0.0000 0.0000 1.8811
Co 0.0000 1.8879 0.0000



5
Lattice="-1.7723 -3.6969 -2.8607 4.5510 -0.6662 -1.9585 0.7405 -2.2889 2.4992" Properties=species:S:1:pos:R:3 comment="Y2CoHAu (PBE, relaxed)" spacegroup="P4/mmm, No. 123" magnetic_moment_mub_per_fu=0.005 volume_a3_per_atom=17.34 dft_energy_ev_per_atom=-5.8366 pbc="T T T"
Co 0.3702 -1.1445 1.2496
Y -0.8861 -1.8484 -1.4303
Au 1.7596 -3.3260 -1.1600
Y 2.2755 -0.3331 -0.9793
H 0.0000 0.0000 0.0000



5
Lattice="4.2350 0.0000 0.0000 0.0000 4.2350 0.0000 0.0000 0.0000 3.2876" Properties=species:S:1:pos:R:3 comment="Zn2CoHAu (PBE, relaxed)" spacegroup="P4/mmm, No. 123" magnetic_moment_mub_per_fu=0.315 volume_a3_per_atom=11.79 dft_energy_ev_per_atom=-3.2657 pbc="T T T"
Zn 2.1175 0.0000 0.0000
Co 0.0000 0.0000 1.6438
H 0.0000 0.0000 0.0000
Au 2.1175 2.1175 1.6438
Zn 0.0000 2.1175 0.0000



5
Lattice="3.4640 0.0000 0.0000 0.0000 5.5732 0.0000 0.0000 0.0000 3.4640" Properties=species:S:1:pos:R:3 comment="ZnCoH2Au (PBE, relaxed)" spacegroup="P4/mmm, No. 123" magnetic_moment_mub_per_fu=1.455 volume_a3_per_atom=13.38 dft_energy_ev_per_atom=-3.1055 pbc="T T T"
Zn 0.0000 2.7866 0.0000
H 1.7320 0.0000 0.0000
Au 0.0000 0.0000 0.0000
H 0.0000 0.0000 1.7320
Co 1.7320 2.7866 1.7320



3
Lattice="-0.8229 0.3055 3.2250 -1.3059 -3.0764 -0.0417 4.9939 -0.2984 -0.4295" Properties=species:S:1:pos:R:3 comment="HfCoAu (PBE, relaxed)" spacegroup="I4mm, No. 107" magnetic_moment_mub_per_fu=0.619 volume_a3_per_atom=16.50 delta_e_f_ev_per_atom=-0.366 pbc="T T T"
Co 2.3157 -0.9923 0.6849
Au -0.1309 -1.7854 1.8677
Hf 2.3666 -2.8556 2.6064